# 1
Below is a relaxed TcPSeO2 crystal, with properties calculated at the PBEsol level.

a = 3.7273 Å, b = 3.7273 Å, c = 4.9948 Å
α = 90.00°, β = 90.00°, γ = 90.00°
Site moments in Bohr magnetons follow the coordinates.
Element x y z (fractional)
O: 0.0000 0.5000 0.0000  0.09
O: 0.5000 0.0000 0.0000  0.09
P: 0.0000 0.0000 0.5000  -0.03
Tc: 0.5000 0.5000 0.5000  3.23
Se: 0.0000 0.0000 0.0000  0.03

Output
**DOS at the Fermi energy**: 2.2 states/eV/cell
**Magnetic moment**: 3.7 μB/f.u.
**ΔE_f (raw)**: 0.429 eV/atom
**Symmetry**: P4/mmm



# 2
Below is a relaxed TiP2SeO crystal, with properties calculated at the PBEsol level.

a = 3.6655 Å, b = 4.6852 Å, c = 4.6852 Å
α = 90.00°, β = 90.00°, γ = 90.00°
Site moments in Bohr magnetons follow the coordinates.
Element x y z (fractional)
O: 0.5000 0.0000 0.0000  -0.01
P: 0.0000 0.5000 0.0000  -0.01
P: 0.0000 0.0000 0.5000  -0.01
Se: 0.0000 0.0000 0.0000  0.00
Ti: 0.5000 0.5000 0.5000  0.14

Output
**DOS at the Fermi energy**: 3.0 states/eV/cell
**Magnetic moment**: 0.1 μB/f.u.
**ΔE_f (raw)**: 0.296 eV/atom
**Symmetry**: P4/mmm



# 3
Below is a relaxed TlP2SeO crystal, with properties calculated at the PBEsol level.

a = 4.0097 Å, b = 5.0930 Å, c = 5.0930 Å
α = 90.00°, β = 90.00°, γ = 90.00°
Element x y z (fractional)
Tl: 0.0000 0.0000 0.0000
P: 0.0000 0.5000 0.0000
P: 0.0000 0.0000 0.5000
Se: 0.5000 0.5000 0.5000
O: 0.5000 0.0000 0.0000

Output
**DOS at the Fermi energy**: 3.2 states/eV/cell
**Magnetic moment**: 0.0 μB/f.u.
**ΔE_f (raw)**: 1.027 eV/atom
**Symmetry**: P4/mmm
**Distance to the lowest polymorph of the same formula**: 617 meV/atom



# 4
Below is a relaxed TlP2SeO crystal, with properties calculated at the PBEsol level.

a = 3.7398 Å, b = 4.9148 Å, c = 4.9148 Å
α = 90.00°, β = 90.00°, γ = 90.00°
Element x y z (fractional)
P: 0.0000 0.0000 0.5000
P: 0.0000 0.5000 0.0000
O: 0.5000 0.0000 0.0000
Tl: 0.5000 0.5000 0.5000
Se: 0.0000 0.0000 0.0000

Output
**DOS at the Fermi energy**: 2.8 states/eV/cell
**Magnetic moment**: 0.0 μB/f.u.
**ΔE_f (raw)**: 0.409 eV/atom
**Symmetry**: P4/mmm
**Distance to the lowest polymorph of the same formula**: 0 meV/atom



# 5
Below is a relaxed ZnP2SeO crystal, with properties calculated at the PBEsol level.

a = 3.6217 Å, b = 4.7021 Å, c = 4.7021 Å
α = 90.00°, β = 90.00°, γ = 90.00°
Element x y z (fractional)
P: 0.0000 0.0000 0.5000
P: 0.0000 0.5000 0.0000
Zn: 0.0000 0.0000 0.0000
O: 0.5000 0.0000 0.0000
Se: 0.5000 0.5000 0.5000

Output
**DOS at the Fermi energy**: 3.7 states/eV/cell
**Magnetic moment**: 0.0 μB/f.u.
**ΔE_f (raw)**: 0.488 eV/atom
**Symmetry**: P4/mmm



# 6
Below is a relaxed SiP2O crystal, with properties calculated at the PBEsol level.

a = 4.0331 Å, b = 4.0331 Å, c = 4.0331 Å
α = 60.00°, β = 60.00°, γ = 60.00°
Element x y z (fractional)
P: 0.7500 0.7500 0.7500
P: 0.2500 0.2500 0.2500
O: 0.0000 0.0000 0.0000
Si: 0.5000 0.5000 0.5000

Output
**DOS at the Fermi energy**: 2.3 states/eV/cell
**Magnetic moment**: 0.0 μB/f.u.
**ΔE_f (raw)**: 0.313 eV/atom
**Symmetry**: Fm-3m



# 7
Below is a relaxed TaSiP2O crystal, with properties calculated at the PBEsol level.

a = 3.7964 Å, b = 4.8838 Å, c = 4.8838 Å
α = 90.00°, β = 90.00°, γ = 90.00°
Element x y z (fractional)
Si: 0.5000 0.5000 0.5000
Ta: 0.0000 0.0000 0.0000
P: 0.0000 0.0000 0.5000
P: 0.0000 0.5000 0.0000
O: 0.5000 0.0000 0.0000

Output
**DOS at the Fermi energy**: 2.2 states/eV/cell
**Magnetic moment**: 0.0 μB/f.u.
**ΔE_f (raw)**: -0.247 eV/atom
**Symmetry**: P4/mmm



# 8
Below is a relaxed SiTcP2O crystal, with properties calculated at the PBEsol level.

a = 3.6038 Å, b = 4.7159 Å, c = 4.7159 Å
α = 90.00°, β = 90.00°, γ = 90.00°
Element x y z (fractional)
O: 0.5000 0.0000 0.0000
Tc: 0.0000 0.0000 0.0000
P: 0.0000 0.0000 0.5000
P: 0.0000 0.5000 0.0000
Si: 0.5000 0.5000 0.5000

Output
**DOS at the Fermi energy**: 3.1 states/eV/cell
**Magnetic moment**: 0.0 μB/f.u.
**ΔE_f (raw)**: 0.046 eV/atom
**Symmetry**: P4/mmm



# 9
Below is a relaxed TlSiP2O crystal, with properties calculated at the PBEsol level.

a = 4.0266 Å, b = 5.0633 Å, c = 5.0633 Å
α = 90.00°, β = 90.00°, γ = 90.00°
Element x y z (fractional)
P: 0.0000 0.5000 0.0000
P: 0.0000 0.0000 0.5000
Tl: 0.0000 0.0000 0.0000
Si: 0.5000 0.5000 0.5000
O: 0.5000 0.0000 0.0000

Output
**DOS at the Fermi energy**: 4.4 states/eV/cell
**Magnetic moment**: 0.0 μB/f.u.
**ΔE_f (raw)**: 1.166 eV/atom
**Symmetry**: P4/mmm



# 10
Below is a relaxed SiPWO2 crystal, with properties calculated at the PBEsol level.

a = 3.7941 Å, b = 3.7941 Å, c = 5.0325 Å
α = 90.00°, β = 90.00°, γ = 90.00°
Element x y z (fractional)
W: 0.0000 0.0000 0.0000
P: 0.0000 0.0000 0.5000
O: 0.0000 0.5000 0.0000
O: 0.5000 0.0000 0.0000
Si: 0.5000 0.5000 0.5000

Output
**DOS at the Fermi energy**: 2.5 states/eV/cell
**Magnetic moment**: 0.0 μB/f.u.
**ΔE_f (raw)**: -0.765 eV/atom
**Symmetry**: P4/mmm



# 11
Below is a relaxed Y2SiP4O15 crystal, with properties calculated at the PBEsol level.

a = 5.4771 Å, b = 6.9930 Å, c = 16.3776 Å
α = 90.00°, β = 90.00°, γ = 90.00°
Element x y z (fractional)
O: 0.4395 0.1221 0.3670
O: 0.5605 0.3779 0.8670
O: 0.1036 0.4092 0.8941
O: 0.6527 0.6637 0.5314
O: 0.8964 0.9092 0.6059
O: 0.3473 0.8363 0.0314
O: 0.3473 0.1637 0.9686
O: 0.1662 0.4218 0.2926
O: 0.8276 0.2657 0.1993
O: 0.1724 0.2343 0.6993
O: 0.8338 0.0782 0.7926
O: 0.8276 0.7343 0.8007
O: 0.2830 0.5747 0.4275
O: 0.4162 0.0871 0.1870
O: 0.5838 0.5871 0.3130
O: 0.5735 0.0000 0.5000
O: 0.5838 0.4129 0.6870
O: 0.5605 0.6221 0.1330
O: 0.7170 0.0747 0.0725
O: 0.1036 0.5908 0.1059
O: 0.4395 0.8779 0.6330
O: 0.1724 0.7657 0.3007
O: 0.7170 0.9253 0.9275
O: 0.4265 0.5000 0.0000
O: 0.2830 0.4253 0.5725
O: 0.8338 0.9218 0.2074
O: 0.8964 0.0908 0.3941
O: 0.4162 0.9129 0.8130
O: 0.6527 0.3363 0.4686
O: 0.1662 0.5782 0.7074
P: 0.3131 0.5885 0.3305
P: 0.6468 0.1341 0.4260
P: 0.3532 0.3659 0.9260
P: 0.3131 0.4115 0.6695
P: 0.6468 0.8659 0.5740
P: 0.6869 0.0885 0.1695
P: 0.3532 0.6341 0.0740
P: 0.6869 0.9115 0.8305
Y: 0.1309 0.9058 0.7170
Y: 0.1309 0.0942 0.2830
Y: 0.8691 0.4058 0.7830
Y: 0.8691 0.5942 0.2170
Si: 0.5360 0.0000 0.0000
Si: 0.4640 0.5000 0.5000

Output
**DOS at the Fermi energy**: 0.0 states/eV/cell
**Magnetic moment**: 0.0 μB/f.u.
**ΔE_f (raw)**: -2.735 eV/atom
**Symmetry**: P2_12_12



# 12
Below is a relaxed YZr5Si5PO24 crystal, with properties calculated at the PBEsol level.

a = 5.5793 Å, b = 5.5793 Å, c = 28.3746 Å
α = 90.00°, β = 90.00°, γ = 115.36°
Element x y z (fractional)
O: 0.4115 0.7277 0.2164
O: 0.7733 0.5893 0.9696
O: 0.0892 0.7743 0.7227
O: 0.9109 0.7270 0.1946
O: 0.2735 0.0895 0.1339
O: 0.2245 0.3993 0.6420
O: 0.7270 0.9109 0.8054
O: 0.9108 0.2257 0.7227
O: 0.7227 0.9019 0.4701
O: 0.2732 0.5892 0.1126
O: 0.7743 0.0892 0.2773
O: 0.7265 0.9105 0.1339
O: 0.2730 0.0891 0.8054
O: 0.0892 0.7732 0.0518
O: 0.0895 0.2735 0.8661
O: 0.7277 0.4115 0.7836
O: 0.4137 0.2255 0.7022
O: 0.0981 0.2773 0.5299
O: 0.2267 0.4107 0.9696
O: 0.2257 0.9108 0.2773
O: 0.2514 0.5698 0.4452
O: 0.4302 0.7486 0.5548
O: 0.7745 0.5863 0.2978
O: 0.7755 0.6007 0.6420
O: 0.9105 0.7265 0.8661
O: 0.7486 0.4302 0.4452
O: 0.5893 0.7733 0.0304
O: 0.2500 0.9314 0.6158
O: 0.9019 0.7227 0.5299
O: 0.7732 0.0892 0.9482
O: 0.7268 0.4108 0.1126
O: 0.7500 0.0686 0.6158
O: 0.5892 0.2732 0.8874
O: 0.5863 0.7745 0.7022
O: 0.2723 0.5885 0.7836
O: 0.0686 0.7500 0.3842
O: 0.5885 0.2723 0.2164
O: 0.2255 0.4137 0.2978
O: 0.0891 0.2730 0.1946
O: 0.4108 0.7268 0.8874
O: 0.3993 0.2245 0.3580
O: 0.9108 0.2268 0.0518
O: 0.2773 0.0981 0.4701
O: 0.2268 0.9108 0.9482
O: 0.9314 0.2500 0.3842
O: 0.5698 0.2514 0.5548
O: 0.6007 0.7755 0.3580
O: 0.4107 0.2267 0.0304
Si: 0.0000 0.5000 0.0822
Si: 0.0000 0.0000 0.5000
Si: 0.5000 0.5000 0.0000
Si: 0.0000 0.5000 0.7530
Si: 0.5000 0.0000 0.2470
Si: 0.5000 0.5000 0.6718
Si: 0.0000 0.0000 0.8358
Si: 0.5000 0.5000 0.3282
Si: 0.0000 0.0000 0.1642
Si: 0.5000 0.0000 0.9178
P: 0.0000 0.5000 0.4148
P: 0.5000 0.0000 0.5852
Zr: 0.5000 0.5000 0.5000
Zr: 0.5000 0.5000 0.8356
Zr: 0.0000 0.5000 0.2462
Zr: 0.0000 0.0000 0.6715
Zr: 0.5000 0.0000 0.7538
Zr: 0.5000 0.0000 0.0821
Zr: 0.5000 0.5000 0.1644
Zr: 0.0000 0.0000 0.3285
Zr: 0.0000 0.0000 0.0000
Zr: 0.0000 0.5000 0.9179
Y: 0.0000 0.5000 0.5860
Y: 0.5000 0.0000 0.4140

Output
**DOS at the Fermi energy**: 0.0 states/eV/cell
**Magnetic moment**: 0.0 μB/f.u.
**ΔE_f (raw)**: -3.153 eV/atom
**Symmetry**: C222